7
Lattice="6.604 0.000 0.000 -2.201 6.226 0.000 -2.201 -3.113 5.392" Properties=species:S:1:pos:R:3 comment="Ce6Pm (PBE, optimized geometry)" e_tot_ev_per_atom=-5.143 space_group="No. 229" total_magnetization_mub_per_cell=2.785 pbc="T T T"
Ce 3.302 2.335 1.348
Ce -1.101 3.113 2.696
Ce 1.101 -0.778 4.044
Ce 1.101 3.891 1.348
Ce -1.101 0.778 4.044
Ce 3.302 0.000 2.696
Pm 0.000 0.000 0.000

***

4
Lattice="-1.369 2.349 4.326 -3.679 -3.471 0.721 3.270 -2.922 2.622" Properties=species:S:1:pos:R:3 comment="CePm3 (PBE, optimized geometry)" e_tot_ev_per_atom=-4.967 space_group="No. 221" total_magnetization_mub_per_cell=0.714 relative_energy_mev_per_atom=0 pbc="T T T"
Ce 0.000 0.000 0.000
Pm 0.951 -0.287 3.474
Pm -0.204 -3.197 1.671
Pm -2.524 -0.561 2.523

***

4
Lattice="-1.386 4.219 3.686 -5.416 0.475 1.938 -1.217 -1.257 5.500" Properties=species:S:1:pos:R:3 comment="CePm3 (PBE, optimized geometry)" e_tot_ev_per_atom=-4.843 space_group="No. 225" total_magnetization_mub_per_cell=2.816 relative_energy_mev_per_atom=124 pbc="T T T"
Pm 0.000 0.000 0.000
Pm -6.014 2.578 8.344
Pm -2.005 0.859 2.781
Ce -4.009 1.719 5.562